First-principles (PBEsol) data for a relaxed SrH2Cl2O crystal, as listed in the Alexandria database.

Properties
V: 16.1 A^3/atom
Space-group type: Pnma (62)
Calculated total energy: -113.54 eV per cell

Lattice parameters (Å, degrees): 10.504 4.120 8.924 90.00 90.00 90.00
Positions (direct):
Sr1 0.190 0.250 0.095
Sr2 0.310 0.750 0.595
Sr3 0.690 0.250 0.405
Sr4 0.810 0.750 0.905
H1 0.077 0.250 0.648
H2 0.126 0.250 0.482
H3 0.374 0.750 0.982
H4 0.423 0.750 0.148
H5 0.577 0.250 0.852
H6 0.626 0.250 0.018
H7 0.874 0.750 0.518
H8 0.923 0.750 0.352
Cl1 0.102 0.750 0.880
Cl2 0.121 0.750 0.322
Cl3 0.379 0.250 0.822
Cl4 0.398 0.250 0.380
Cl5 0.602 0.750 0.620
Cl6 0.621 0.750 0.178
Cl7 0.879 0.250 0.678
Cl8 0.898 0.250 0.120
O1 0.157 0.250 0.586
O2 0.343 0.750 0.086
O3 0.657 0.250 0.914
O4 0.843 0.750 0.414


First-principles (PBEsol) data for a relaxed SrH12Cl2O6 crystal, as listed in the Alexandria database.

Properties
V: 10.2 A^3/atom
Space-group type: P321 (150)
Calculated total energy: -103.39 eV per cell

Lattice parameters (Å, degrees): 7.838 7.838 4.038 90.00 90.00 120.00
Positions (direct):
Sr1 0.000 0.000 0.000
H1 0.100 0.650 0.897
H2 0.116 0.359 0.485
H3 0.243 0.884 0.485
H4 0.350 0.450 0.897
H5 0.359 0.116 0.515
H6 0.450 0.350 0.103
H7 0.550 0.900 0.897
H8 0.641 0.757 0.485
H9 0.650 0.100 0.103
H10 0.757 0.641 0.515
H11 0.884 0.243 0.515
H12 0.900 0.550 0.103
Cl1 0.333 0.667 0.591
Cl2 0.667 0.333 0.409
O1 0.000 0.224 0.500
O2 0.000 0.675 0.000
O3 0.224 0.000 0.500
O4 0.325 0.325 0.000
O5 0.675 0.000 0.000
O6 0.776 0.776 0.500


First-principles (PBEsol) data for a relaxed SrHClO crystal, as listed in the Alexandria database.

Properties
V: 18.0 A^3/atom
Space-group type: P6_3mc (186)
Calculated total energy: -41.91 eV per cell

Lattice parameters (Å, degrees): 4.115 4.115 9.836 90.00 90.00 120.00
Positions (direct):
Sr1 0.333 0.667 0.000
Sr2 0.667 0.333 0.500
H1 0.000 0.000 0.333
H2 0.000 0.000 0.833
Cl1 0.333 0.667 0.689
Cl2 0.667 0.333 0.189
O1 0.000 0.000 0.433
O2 0.000 0.000 0.933


First-principles (PBEsol) data for a relaxed VH12Cl3O6 crystal, as listed in the Alexandria database.

Properties
V: 10.4 A^3/atom
Space-group type: P2_1/c (14)
Calculated total energy: -222.65 eV per cell

Lattice parameters (Å, degrees): 6.423 6.193 11.546 90.00 97.14 90.00
Positions (direct):
V1 0.000 0.000 0.000
V2 0.000 0.500 0.500
H1 0.023 0.125 0.619
H2 0.023 0.375 0.119
H3 0.208 0.093 0.822
H4 0.208 0.407 0.322
H5 0.210 0.658 0.191
H6 0.210 0.842 0.691
H7 0.218 0.650 0.953
H8 0.218 0.850 0.453
H9 0.317 0.231 0.937
H10 0.317 0.269 0.437
H11 0.335 0.047 0.660
H12 0.335 0.453 0.160
H13 0.665 0.547 0.840
H14 0.665 0.953 0.340
H15 0.683 0.731 0.563
H16 0.683 0.769 0.063
H17 0.782 0.150 0.547
H18 0.782 0.350 0.047
H19 0.790 0.158 0.309
H20 0.790 0.342 0.809
H21 0.792 0.593 0.678
H22 0.792 0.907 0.178
H23 0.977 0.625 0.881
H24 0.977 0.875 0.381
Cl1 0.271 0.528 0.658
Cl2 0.271 0.972 0.158
Cl3 0.500 0.000 0.500
Cl4 0.500 0.500 0.000
Cl5 0.729 0.028 0.842
Cl6 0.729 0.472 0.342
O1 0.077 0.719 0.935
O2 0.077 0.781 0.435
O3 0.192 0.146 0.904
O4 0.192 0.354 0.404
O5 0.209 0.005 0.697
O6 0.209 0.495 0.197
O7 0.791 0.505 0.803
O8 0.791 0.995 0.303
O9 0.808 0.646 0.596
O10 0.808 0.854 0.096
O11 0.923 0.219 0.565
O12 0.923 0.281 0.065